K2LiLa, relaxed, DFT PBE; crystal system = trigonal; calculated total energy = -7.85 eV/cell
1.0
1.931 1.115 13.797
-1.931 1.115 13.797
0.000 -2.230 13.797
K Li La
2 1 1
Cartesian
0.000 0.000 10.105
0.000 0.000 31.287
0.000 0.000 20.696
0.000 0.000 0.000